Entry from OQMD via LeMat-Bulk: a geometry-optimized NdPaNO structure (PBE).

Magnetic moment in μB/cell: 4.05
Relative energy among the computed polymorphs in kJ/mol of atoms: 63.3

Cell lengths 5.667, 5.667, 8.530 Å; angles 90.00, 90.01, 90.00 degrees
Element x y z (fractional)
Nd1 0.000 0.250 0.000
Nd2 0.000 0.750 0.000
Nd3 0.500 0.250 0.000
Nd4 0.500 0.750 0.000
Pa1 0.247 0.000 0.350
Pa2 0.248 0.500 0.649
Pa3 0.747 0.500 0.350
Pa4 0.748 0.000 0.649
N1 0.251 0.000 0.800
N2 0.252 0.500 0.203
N3 0.751 0.500 0.800
N4 0.752 0.000 0.203
O1 0.001 0.250 0.500
O2 0.001 0.750 0.500
O3 0.501 0.250 0.500
O4 0.501 0.750 0.500